No. 1
# LiLuInTc | the Alexandria database | PBE | relaxed
# Calculated volume (Å³ per atom): 18.8
# ΔH_f (0 K) (meV per atom): -40
data_LiLuInTc
_cell_length_a 6.704
_cell_length_b 6.704
_cell_length_c 6.704
_cell_angle_alpha 90.00
_cell_angle_beta 90.00
_cell_angle_gamma 90.00
_space_group_name_H-M_alt 'F -4 3 m'
_space_group_IT_number 216
_space_group_name_Hall 'F -4 2 3'
loop_
_atom_site_label
_atom_site_fract_x
_atom_site_fract_y
_atom_site_fract_z
_atom_site_occupancy
Li1 0.000 0.000 0.000 1
Lu1 0.250 0.250 0.750 1
In1 0.250 0.250 0.250 1
Tc1 0.000 0.000 0.500 1


No. 2
# LiLuThIn | the Alexandria database | PBE | relaxed
# Calculated volume (Å³ per atom): 26.1
# ΔH_f (0 K) (meV per atom): -107
data_LiLuThIn
_cell_length_a 7.476
_cell_length_b 7.476
_cell_length_c 7.476
_cell_angle_alpha 90.00
_cell_angle_beta 90.00
_cell_angle_gamma 90.00
_space_group_name_H-M_alt 'F -4 3 m'
_space_group_IT_number 216
_space_group_name_Hall 'F -4 2 3'
loop_
_atom_site_label
_atom_site_fract_x
_atom_site_fract_y
_atom_site_fract_z
_atom_site_occupancy
Li1 0.000 0.000 0.000 1
Lu1 0.250 0.250 0.750 1
Th1 0.250 0.250 0.250 1
In1 0.000 0.000 0.500 1


No. 3
# LiTmLuIn | the Alexandria database | PBE | relaxed
# Calculated volume (Å³ per atom): 24.6
# ΔH_f (0 K) (meV per atom): -239
data_LiTmLuIn
_cell_length_a 7.327
_cell_length_b 7.327
_cell_length_c 7.327
_cell_angle_alpha 90.00
_cell_angle_beta 90.00
_cell_angle_gamma 90.00
_space_group_name_H-M_alt 'F -4 3 m'
_space_group_IT_number 216
_space_group_name_Hall 'F -4 2 3'
loop_
_atom_site_label
_atom_site_fract_x
_atom_site_fract_y
_atom_site_fract_z
_atom_site_occupancy
Li1 0.000 0.000 0.000 1
Tm1 0.250 0.250 0.750 1
Lu1 0.250 0.250 0.250 1
In1 0.000 0.000 0.500 1


No. 4
# LiYLuIn | the Alexandria database | PBE | relaxed
# Calculated volume (Å³ per atom): 25.2
# ΔH_f (0 K) (meV per atom): -269
data_LiYLuIn
_cell_length_a 7.385
_cell_length_b 7.385
_cell_length_c 7.385
_cell_angle_alpha 90.00
_cell_angle_beta 90.00
_cell_angle_gamma 90.00
_space_group_name_H-M_alt 'F -4 3 m'
_space_group_IT_number 216
_space_group_name_Hall 'F -4 2 3'
loop_
_atom_site_label
_atom_site_fract_x
_atom_site_fract_y
_atom_site_fract_z
_atom_site_occupancy
Li1 0.000 0.000 0.000 1
Y1 0.250 0.250 0.250 1
Lu1 0.250 0.250 0.750 1
In1 0.000 0.000 0.500 1


No. 5
# LiLuZnIn | the Alexandria database | PBE | relaxed
# Calculated volume (Å³ per atom): 20.7
# ΔH_f (0 K) (meV per atom): -288
data_LiLuZnIn
_cell_length_a 6.922
_cell_length_b 6.922
_cell_length_c 6.922
_cell_angle_alpha 90.00
_cell_angle_beta 90.00
_cell_angle_gamma 90.00
_space_group_name_H-M_alt 'F -4 3 m'
_space_group_IT_number 216
_space_group_name_Hall 'F -4 2 3'
loop_
_atom_site_label
_atom_site_fract_x
_atom_site_fract_y
_atom_site_fract_z
_atom_site_occupancy
Li1 0.000 0.000 0.000 1
Lu1 0.000 0.000 0.500 1
Zn1 0.250 0.250 0.750 1
In1 0.250 0.250 0.250 1


No. 6
# Li2Mg7In | the Alexandria database | PBE | relaxed
# Calculated volume (Å³ per atom): 27.2
# ΔH_f (0 K) (meV per atom): 243
data_Li2Mg7In
_cell_length_a 8.086
_cell_length_b 13.821
_cell_length_c 4.872
_cell_angle_alpha 90.00
_cell_angle_beta 90.00
_cell_angle_gamma 90.00
_space_group_name_H-M_alt 'C m m m'
_space_group_IT_number 65
_space_group_name_Hall '-C 2 2'
loop_
_atom_site_label
_atom_site_fract_x
_atom_site_fract_y
_atom_site_fract_z
_atom_site_occupancy
Li1 0.000 0.202 0.000 1
Mg1 0.000 0.000 0.000 1
Mg2 0.000 0.281 0.500 1
Mg3 0.185 0.385 0.000 1
In1 0.000 0.500 0.500 1


No. 7
# Li7Mg4In | the Alexandria database | PBE | relaxed
# Calculated volume (Å³ per atom): 19.6
# ΔH_f (0 K) (meV per atom): -107
data_Li7Mg4In
_cell_length_a 4.8318
_cell_length_b 4.8318
_cell_length_c 11.6622
_cell_angle_alpha 90.00
_cell_angle_beta 90.00
_cell_angle_gamma 120.00
_space_group_name_H-M_alt 'P -3 m 1'
_space_group_IT_number 164
_space_group_name_Hall '-P 3 2"'
loop_
_atom_site_label
_atom_site_fract_x
_atom_site_fract_y
_atom_site_fract_z
_atom_site_occupancy
Li1 0.0000 0.0000 0.0000 1
Li2 0.0000 0.0000 0.2482 1
Li3 0.3333 0.6667 0.1732 1
Li4 0.3333 0.6667 0.4183 1
Mg1 0.3333 0.6667 0.6601 1
Mg2 0.3333 0.6667 0.9208 1
In1 0.0000 0.0000 0.5000 1


No. 8
# Li3Mg2In3 | the Alexandria database | PBE | relaxed
# Calculated volume (Å³ per atom): 20.9
# ΔH_f (0 K) (meV per atom): -202
data_Li3Mg2In3
_cell_length_a 18.106
_cell_length_b 4.264
_cell_length_c 4.477
_cell_angle_alpha 90.00
_cell_angle_beta 104.23
_cell_angle_gamma 90.00
_space_group_name_H-M_alt 'C 1 2/m 1'
_space_group_IT_number 12
loop_
_space_group_symop_operation_xyz
'x,y,z'
'-x,-y,-z'
'-x,y,-z'
'x,-y,z'
'x+1/2,y+1/2,z'
'-x+1/2,-y+1/2,-z'
'-x+1/2,y+1/2,-z'
'x+1/2,-y+1/2,z'
loop_
_atom_site_label
_atom_site_fract_x
_atom_site_fract_y
_atom_site_fract_z
_atom_site_occupancy
Li1 0.000 0.000 0.000 1
Li2 0.118 0.000 0.618 1
Mg1 0.250 0.000 0.250 1
In1 0.000 0.500 0.500 1
In2 0.127 0.500 0.126 1


In order of appearance, density of states at the Fermi level = 9.3 10.6 10.8 11.7 5.5 9.7 5.1 6.3 states/eV per cell.